4
Lattice="2.9908 0.0000 0.0000 0.0000 4.4730 -0.0109 0.0000 2.8135 4.8431" Properties=species:S:1:pos:R:3 comment="SiRhAu2, relaxed, DFT GGA-PBE" space_group="No. 10" total_energy_ev_per_atom=-4.8138 dos_at_fermi_per_ev_cell=1.36 rho_g_cm3=13.43 raw_formation_energy_mev_per_atom=18 pbc="T T T"
Si 0.0000 1.4067 2.4216
Au 1.4954 2.2365 -0.0055
Au 0.0000 0.0000 0.0000
Rh 1.4954 3.6433 2.4161

5
Lattice="-2.0056 4.3237 1.4520 -4.5485 -2.0136 -0.2866 0.3381 -1.4409 4.7576" Properties=species:S:1:pos:R:3 comment="SiRhAu3, relaxed, DFT GGA-PBE" space_group="No. 221" total_energy_ev_per_atom=-3.3433 polymorph_energy_mev_per_atom=570 dos_at_fermi_per_ev_cell=5.18 rho_g_cm3=9.69 raw_formation_energy_mev_per_atom=1178 pbc="T T T"
Au 0.1690 -0.7205 2.3788
Au -1.0028 2.1619 0.7260
Au -2.2742 -1.0068 -0.1433
Rh 0.0000 0.0000 0.0000
Si -3.1080 0.4346 2.9615

4
Lattice="-4.1890 -0.1615 -2.1525 0.7645 -1.0684 -4.5256 1.5060 -2.0942 3.9438" Properties=species:S:1:pos:R:3 comment="SiRh2Au, relaxed, DFT GGA-PBE" space_group="No. 119" total_energy_ev_per_atom=-5.8855 dos_at_fermi_per_ev_cell=5.25 rho_g_cm3=12.14 raw_formation_energy_mev_per_atom=-35 pbc="T T T"
Si -1.7123 -0.6149 -3.3391
Au -2.1976 -1.4353 -0.7739
Rh 0.2791 -1.8888 -1.9605
Rh 0.0000 0.0000 0.0000

4
Lattice="8.5901 -0.0121 -0.0071 8.0749 2.9302 -0.0071 8.0749 1.4140 2.5665" Properties=species:S:1:pos:R:3 comment="SiRhAu2, relaxed, DFT GGA-PBE" space_group="No. 166" total_energy_ev_per_atom=-4.6403 dos_at_fermi_per_ev_cell=3.36 rho_g_cm3=13.40 raw_formation_energy_mev_per_atom=192 pbc="T T T"
Au 0.1434 0.0251 0.0148
Au 12.2265 2.1410 1.2613
Si 18.5549 3.2491 1.9142
Rh 6.1850 1.0830 0.6381

4
Lattice="-2.8076 -0.4248 0.0827 1.7622 -2.1820 -0.4514 0.5076 -1.5299 9.3773" Properties=species:S:1:pos:R:3 comment="SiRhAu2, relaxed, DFT GGA-PBE" space_group="No. 65" total_energy_ev_per_atom=-4.5444 dos_at_fermi_per_ev_cell=4.12 rho_g_cm3=13.13 raw_formation_energy_mev_per_atom=288 pbc="T T T"
Si -0.1420 -2.4508 6.8486
Au 0.2550 -0.7685 4.7105
Au 0.5064 -1.5263 9.3554
Rh -0.3958 -1.6859 2.1600

4
Lattice="5.2096 0.0219 0.0056 4.3938 2.7991 0.0056 2.0242 0.5946 4.1174" Properties=species:S:1:pos:R:3 comment="SiRh2Au, relaxed, DFT GGA-PBE" space_group="No. 12" total_energy_ev_per_atom=-6.1297 dos_at_fermi_per_ev_cell=3.54 rho_g_cm3=12.00 raw_formation_energy_mev_per_atom=-279 pbc="T T T"
Rh 2.3422 0.6880 3.9460
Rh 5.4957 1.6144 2.2358
Si 8.7206 2.5617 3.0965
Au 2.9069 0.8539 1.0322

4
Lattice="-5.1469 -0.5400 -0.4843 -1.7516 -4.2754 -2.3812 3.3610 1.1241 3.8022" Properties=species:S:1:pos:R:3 comment="SiRhAu2, relaxed, DFT GGA-PBE" space_group="No. 139" total_energy_ev_per_atom=-4.7478 dos_at_fermi_per_ev_cell=3.48 rho_g_cm3=13.49 raw_formation_energy_mev_per_atom=84 pbc="T T T"
Si -2.6176 -0.9118 0.9426
Au -3.4493 -2.4077 -1.4327
Au 0.0000 0.0000 0.0000
Rh -0.9199 -2.7795 -0.0058

4
Lattice="-1.7305 1.8273 -3.7718 -1.8700 -4.1304 0.0545 -2.2577 1.0425 1.5409" Properties=species:S:1:pos:R:3 comment="SiRh2Au, relaxed, DFT GGA-PBE" space_group="No. 65" total_energy_ev_per_atom=-6.0339 dos_at_fermi_per_ev_cell=2.42 rho_g_cm3=12.19 raw_formation_energy_mev_per_atom=-183 pbc="T T T"
Rh 0.0000 0.0000 0.0000
Rh -1.8002 -1.1516 -1.8587
Si -1.9941 1.4349 -1.1155
Au -2.0639 -1.5440 0.7977

8
Lattice="7.2429 0.0000 0.0000 0.0000 7.2429 0.0000 3.6215 3.6215 2.5824" Properties=species:S:1:pos:R:3 comment="SiRhAu2, relaxed, DFT GGA-PBE" space_group="No. 122" total_energy_ev_per_atom=-4.7822 dos_at_fermi_per_ev_cell=3.01 rho_g_cm3=12.87 raw_formation_energy_mev_per_atom=50 pbc="T T T"
Rh 7.2429 3.6215 1.2912
Rh 0.0000 0.0000 0.0000
Au 5.1721 1.8107 0.6456
Au 5.4322 5.6924 1.9368
Au 9.0537 8.7935 1.9368
Au 2.0709 5.4322 0.6456
Si 3.6215 7.2429 1.2912
Si 3.6215 3.6215 0.0000

4
Lattice="4.0024 -0.1033 -0.0871 2.9736 2.6809 -0.0871 1.2051 0.4453 6.0914" Properties=species:S:1:pos:R:3 comment="SiRhAu2, relaxed, DFT GGA-PBE" space_group="No. 8" total_energy_ev_per_atom=-4.9646 dos_at_fermi_per_ev_cell=1.49 rho_g_cm3=12.90 raw_formation_energy_mev_per_atom=-132 pbc="T T T"
Au 6.1272 2.2639 4.3453
Au 6.9375 2.5633 0.0390
Rh 4.1101 1.5186 2.5911
Si 2.0730 0.7660 1.7264

4
Lattice="8.6843 0.0058 0.0034 8.1777 2.9227 0.0034 8.1777 1.4203 2.5545" Properties=species:S:1:pos:R:3 comment="SiRhAu2, relaxed, DFT GGA-PBE" space_group="No. 160" total_energy_ev_per_atom=-4.9774 dos_at_fermi_per_ev_cell=1.84 rho_g_cm3=13.49 raw_formation_energy_mev_per_atom=-145 pbc="T T T"
Au 0.2424 0.0421 0.0248
Au 6.1761 1.0726 0.6317
Si 18.9316 3.2879 1.9365
Rh 12.2096 2.1205 1.2489

4
Lattice="3.9110 0.0000 0.0000 0.0000 3.9110 0.0000 0.0000 0.0000 4.1528" Properties=species:S:1:pos:R:3 comment="SiRhAu2, relaxed, DFT GGA-PBE" space_group="No. 123" total_energy_ev_per_atom=-4.8012 dos_at_fermi_per_ev_cell=2.21 rho_g_cm3=13.72 raw_formation_energy_mev_per_atom=31 pbc="T T T"
Si 0.0000 1.9555 2.0764
Au 1.9555 1.9555 0.0000
Au 0.0000 0.0000 0.0000
Rh 1.9555 0.0000 2.0764

12
Lattice="-3.4764 0.5021 -4.0800 3.4670 -4.1177 0.0912 -6.1717 -5.0938 4.6317" Properties=species:S:1:pos:R:3 comment="Sm3Si6Rh2Au, relaxed, DFT GGA-PBE" space_group="No. 164" total_energy_ev_per_atom=-5.7941 dos_at_fermi_per_ev_cell=4.32 rho_g_cm3=7.31 raw_formation_energy_mev_per_atom=-404 pbc="T T T"
Si -5.1125 -6.0010 0.0656
Si -1.0732 -4.4528 -1.3472
Si -5.1079 -4.2566 1.9901
Si 0.6040 -4.6950 0.6212
Si -6.7852 -4.0144 0.0217
Si -1.0686 -2.7084 0.5772
Rh 0.7380 -2.9199 -0.9882
Rh -6.9192 -5.7895 1.6310
Sm -2.4428 -5.5451 1.3989
Sm -3.7384 -3.1643 -0.7561
Sm 0.0000 0.0000 0.0000
Au -3.0859 -2.5469 2.3159

20
Lattice="-1.0629 0.3837 -3.3355 6.0110 -7.3095 -2.7562 -7.2233 -6.5250 1.5512" Properties=species:S:1:pos:R:3 comment="Sm2Si2Rh5Au, relaxed, DFT GGA-PBE" space_group="No. 127" total_energy_ev_per_atom=-6.8480 dos_at_fermi_per_ev_cell=10.46 rho_g_cm3=10.37 raw_formation_energy_mev_per_atom=-816 pbc="T T T"
Au 0.0000 0.0000 0.0000
Au -0.6061 -6.9172 -0.6025
Sm 0.0696 -10.4339 -1.2223
Sm -1.2818 -3.4006 0.0173
Sm -4.0043 -7.7443 0.3852
Sm 2.7921 -6.0902 -1.5902
Rh 3.5022 -8.0366 -3.8995
Rh -2.9342 -5.5828 -1.5663
Rh 2.4741 -3.4629 -3.0458
Rh -4.1431 -3.0707 -0.8922
Rh -5.7773 -5.4143 -0.6410
Rh -2.5569 -11.6116 -2.3800
Rh 0.0214 -4.8113 -2.4194
Rh -2.2964 -8.6396 -2.1211
Rh 0.6591 -7.8680 -2.9742
Rh 0.2818 -1.8392 -2.1605
Si 1.3813 -3.5585 -0.8495
Si -3.7604 -4.9604 0.6277
Si -2.5935 -10.2760 -0.3556
Si 2.5482 -8.8741 -1.8327

5
Lattice="-1.6212 4.6462 1.1678 -4.0817 -1.5855 0.6415 1.0919 -0.8421 4.8660" Properties=species:S:1:pos:R:3 comment="SiSnRh2Au, relaxed, DFT GGA-PBE" space_group="No. 123" total_energy_ev_per_atom=-4.5043 dos_at_fermi_per_ev_cell=7.02 rho_g_cm3=8.06 raw_formation_energy_mev_per_atom=977 pbc="T T T"
Si -2.0408 -0.7928 0.3207
Sn -2.3055 1.1093 3.3377
Au 0.0000 0.0000 0.0000
Rh -0.8106 2.3231 0.5839
Rh 0.5459 -0.4210 2.4330

9
Lattice="4.5256 0.0000 0.0000 0.0000 4.5256 0.0000 0.0000 0.0000 7.4122" Properties=species:S:1:pos:R:3 comment="ThSi2Rh5Au, relaxed, DFT GGA-PBE" space_group="No. 123" total_energy_ev_per_atom=-6.9771 dos_at_fermi_per_ev_cell=1.66 rho_g_cm3=10.93 raw_formation_energy_mev_per_atom=-499 pbc="T T T"
Rh 2.2628 2.2628 3.7061
Rh 2.2628 0.0000 5.6833
Rh 0.0000 2.2628 5.6833
Rh 0.0000 2.2628 1.7289
Rh 2.2628 0.0000 1.7289
Th 0.0000 0.0000 3.7061
Si 2.2628 2.2628 1.2399
Si 2.2628 2.2628 6.1723
Au 0.0000 0.0000 0.0000

20
Lattice="-6.6502 -4.1949 -1.1653 5.3694 -1.9570 -5.5245 2.9169 -1.6085 7.2170" Properties=species:S:1:pos:R:3 comment="Th4Si3Rh12Au, relaxed, DFT GGA-PBE" space_group="No. 229" total_energy_ev_per_atom=-7.3367 dos_at_fermi_per_ev_cell=10.50 rho_g_cm3=10.50 raw_formation_energy_mev_per_atom=-465 pbc="T T T"
Rh 2.2265 -0.9580 0.4548
Rh -1.5737 -4.5268 -1.8320
Rh -2.1868 -4.4397 1.3534
Rh 6.0598 -2.6075 1.2377
Rh -2.7302 -4.2441 4.4256
Rh 1.4312 -3.9674 -2.9218
Rh 3.2098 -3.2336 2.3592
Rh 3.8229 -3.3208 -0.8262
Rh 0.2049 -3.7931 3.4490
Rh -0.3441 -1.6530 -1.7975
Rh -1.0031 -1.5593 1.6260
Rh -0.9367 -4.4990 -4.8923
Th -3.3251 -2.0975 -0.5826
Th 1.4584 -0.8043 3.6085
Th 0.8180 -3.8802 0.2636
Th 2.6847 -0.9785 -2.7622
Au 0.0000 0.0000 0.0000
Si -1.8666 -2.9017 3.0258
Si 4.1431 -1.7828 0.8462
Si -0.6404 -3.0760 -3.3449

16
Lattice="-5.9761 -4.3604 2.5371 2.3681 -5.8976 -4.5579 5.6589 2.7798 6.0531" Properties=species:S:1:pos:R:3 comment="Sm5Rh2Au, relaxed, DFT GGA-PBE" space_group="No. 140" total_energy_ev_per_atom=-5.8399 dos_at_fermi_per_ev_cell=17.13 ef_kj_per_mol_atoms=-62 rho_g_cm3=9.26 pbc="T T T"
Sm 1.6588 -5.2775 -1.2161
Sm 0.3921 -2.2008 5.2484
Sm -0.5566 -3.0812 1.5007
Sm -3.1360 -6.2791 1.9827
Sm 2.9715 0.9972 4.7664
Sm -0.9206 -8.4755 -0.7341
Sm 0.0000 0.0000 0.0000
Sm -1.8040 -5.1290 -1.0104
Sm 5.1869 -1.1991 2.0496
Sm 2.6075 -4.3971 2.5316
Au 1.9275 -1.1746 2.5213
Au 0.1234 -6.3037 1.5109
Rh -3.4779 -3.5728 0.9942
Rh -3.6593 -7.5179 -0.7051
Rh 0.0512 -2.7401 -1.3157
Rh -0.1301 -6.6852 -3.0150

20
Lattice="4.2553 0.0000 0.0000 0.0000 8.0849 0.0000 0.0000 0.0000 15.6951" Properties=species:S:1:pos:R:3 comment="Sm3RhAu, relaxed, DFT GGA-PBE" space_group="No. 62" total_energy_ev_per_atom=-5.6171 dos_at_fermi_per_ev_cell=15.07 ef_kj_per_mol_atoms=-64 rho_g_cm3=9.24 pbc="T T T"
Sm 1.0638 5.5050 11.2908
Sm 3.1915 2.5799 4.4043
Sm 3.1915 5.1483 6.9519
Sm 1.0638 2.9366 8.7432
Sm 3.1915 3.9179 14.1590
Sm 1.0638 0.1246 6.3115
Sm 1.0638 6.9791 14.7995
Sm 1.0638 1.4625 12.2519
Sm 3.1915 7.9603 9.3836
Sm 3.1915 1.1059 0.8956
Sm 3.1915 6.6224 3.4432
Sm 1.0638 4.1671 1.5361
Rh 1.0638 2.1405 14.9874
Rh 3.1915 1.9019 7.1398
Rh 3.1915 5.9444 0.7077
Rh 1.0638 6.1830 8.5553
Au 3.1915 3.2157 11.0112
Au 1.0638 4.8692 4.6839
Au 1.0638 0.8267 3.1637
Au 3.1915 7.2582 12.5314

12
Lattice="5.1147 0.0000 1.5170 2.3324 4.5520 1.5170 0.0323 0.0197 9.2718" Properties=species:S:1:pos:R:3 comment="Sm3Rh8Au, relaxed, DFT GGA-PBE" space_group="No. 160" total_energy_ev_per_atom=-6.8740 dos_at_fermi_per_ev_cell=9.84 ef_kj_per_mol_atoms=-50 rho_g_cm3=11.33 pbc="T T T"
Rh 2.3244 1.4208 1.5439
Rh 3.0274 0.2861 3.8678
Rh 0.4680 0.2861 3.1087
Rh 3.0472 0.2942 8.4879
Rh 1.6351 2.5638 3.8678
Rh 1.6514 2.5777 8.4879
Rh 6.0629 3.7059 7.7010
Rh 4.2172 2.5777 9.2489
Sm 3.6936 2.2577 6.3084
Sm 4.6501 2.8423 3.0836
Sm 0.0891 0.0544 9.0804
Au 0.9856 0.6024 6.0577

11
Lattice="-1.4459 3.5225 3.4681 -5.1170 2.0617 -4.2273 -3.3976 -8.0850 2.9710" Properties=species:S:1:pos:R:3 comment="Sm8RhAu2, relaxed, DFT GGA-PBE" space_group="No. 12" total_energy_ev_per_atom=-5.1265 polymorph_energy_mev_per_atom=0 dos_at_fermi_per_ev_cell=11.13 ef_kj_per_mol_atoms=-42 rho_g_cm3=9.03 pbc="T T T"
Sm -6.2512 -4.0657 1.5233
Sm -3.7093 1.5649 0.6885
Sm -6.6263 -0.6006 1.6717
Sm -2.9764 -4.2542 3.0800
Sm -4.2274 1.2534 -3.0355
Sm -5.7330 -3.7543 5.2473
Sm -6.9840 1.7533 -0.8682
Sm -3.3341 -1.9003 0.5401
Rh -0.7229 1.7612 1.7341
Au -5.3770 -0.9190 -1.3083
Au -4.5834 -1.5818 3.5201

10
Lattice="-0.2734 2.4985 -2.6142 -2.4497 -2.0564 -1.7092 -13.4287 8.2644 9.3031" Properties=species:S:1:pos:R:3 comment="Sm5RhAu4, relaxed, DFT GGA-PBE" space_group="No. 123" total_energy_ev_per_atom=-5.1866 dos_at_fermi_per_ev_cell=6.02 ef_kj_per_mol_atoms=-75 rho_g_cm3=11.33 pbc="T T T"
Au -10.8211 6.6597 7.4967
Au -5.3503 3.2927 3.7066
Au -2.6075 1.6048 1.8065
Au -8.0784 4.9717 5.5966
Sm -5.3338 2.6657 0.5902
Sm -10.8180 6.0408 4.3896
Sm -13.5539 7.7246 6.2850
Sm -2.5978 0.9819 -1.3052
Sm -8.0759 4.3533 2.4899
Rh 0.0000 0.0000 0.0000

8
Lattice="-0.7746 3.6226 -1.0323 -0.6009 -1.3338 -4.2298 -10.4456 -1.6614 2.0078" Properties=species:S:1:pos:R:3 comment="Sm4Rh3Au, relaxed, DFT GGA-PBE" space_group="No. 25" total_energy_ev_per_atom=-6.2877 dos_at_fermi_per_ev_cell=5.65 ef_kj_per_mol_atoms=-73 rho_g_cm3=9.92 pbc="T T T"
Rh -9.9358 0.2926 1.3192
Rh -4.2778 -0.6804 0.8223
Rh -6.4395 -1.6434 -0.9349
Sm -1.4965 -0.2380 0.2877
Sm -4.5714 0.5267 -1.8845
Sm -9.2050 -2.0832 -0.4033
Sm -7.0597 0.7500 0.7664
Au -1.5476 1.0077 -2.4658